Record 1
{
  "formula": "Zr2TlRe",
  "functional": "GGA-PBEsol",
  "state": "relaxed",
  "lattice_angstrom": [[3.304, 0.000, 0.000], [0.000, 3.304, 0.000], [0.000, 0.000, 7.260]],
  "species": ["Re", "Tl", "Zr", "Zr"],
  "fractional_positions": [[0.500, 0.500, 0.000], [0.500, 0.500, 0.500], [0.000, 0.000, 0.785], [0.000, 0.000, 0.215]],
  "sg": "P4/mmm (123)",
  "e_above_lowest_polymorph_mev_per_atom": 0,
  "vol_a3_per_fu": 79.2
}

***

Record 2
{
  "formula": "Zr2TlRe",
  "functional": "GGA-PBEsol",
  "state": "relaxed",
  "lattice_angstrom": [[-3.647, -3.097, -0.295], [0.819, -4.556, -1.247], [-0.448, -3.493, 3.253]],
  "species": ["Re", "Tl", "Zr", "Zr"],
  "fractional_positions": [[0.000, 0.000, 0.000], [0.500, 0.500, 0.500], [0.750, 0.750, 0.750], [0.250, 0.250, 0.250]],
  "sg": "Fm-3m (225)",
  "e_above_lowest_polymorph_mev_per_atom": 203,
  "vol_a3_per_fu": 77.9
}

***

Record 3
{
  "formula": "V3Re",
  "functional": "GGA-PBEsol",
  "state": "relaxed",
  "lattice_angstrom": [[-1.924, 3.695, 0.616], [-3.947, 0.570, -1.353], [-3.155, 0.294, 2.774]],
  "species": ["Re", "V", "V", "V"],
  "fractional_positions": [[0.000, 0.000, 0.000], [0.250, 0.250, 0.250], [0.750, 0.750, 0.750], [0.500, 0.500, 0.500]],
  "sg": "Fm-3m (225)",
  "vol_a3_per_fu": 52.8
}

***

Record 4
{
  "formula": "VReW",
  "functional": "GGA-PBEsol",
  "state": "relaxed",
  "lattice_angstrom": [[3.057, 0.000, 0.000], [0.000, 3.057, 0.000], [-1.529, -1.529, 4.602]],
  "species": ["Re", "W", "V"],
  "fractional_positions": [[0.566, 0.566, 0.133], [0.238, 0.238, 0.477], [0.904, 0.904, 0.807]],
  "sg": "I4mm (107)",
  "vol_a3_per_fu": 43.0
}

***

Record 5
{
  "formula": "Re2W",
  "functional": "GGA-PBEsol",
  "state": "relaxed",
  "lattice_angstrom": [[-2.938, 1.017, -0.201], [-0.675, -1.417, 2.691], [2.984, 4.059, 1.082]],
  "species": ["Re", "Re", "W"],
  "fractional_positions": [[0.336, 0.336, 0.673], [0.664, 0.664, 0.327], [0.000, 0.000, 0.000]],
  "sg": "I4/mmm (139)",
  "vol_a3_per_fu": 45.2
}

***

Record 6
{
  "formula": "ReW8",
  "functional": "GGA-PBEsol",
  "state": "relaxed",
  "lattice_angstrom": [[-2.522, 1.845, -0.359], [-4.896, -4.389, -1.936], [-2.897, -0.071, 6.212]],
  "species": ["Re", "W", "W", "W", "W", "W", "W", "W", "W"],
  "fractional_positions": [[0.000, 0.000, 0.000], [0.000, 0.333, 0.667], [0.000, 0.667, 0.333], [0.667, 0.333, 0.333], [0.666, 0.667, 0.000], [0.666, 0.000, 0.667], [0.333, 0.667, 0.667], [0.334, 0.000, 0.333], [0.334, 0.333, 0.000]],
  "sg": "I4/mmm (139)",
  "vol_a3_per_fu": 140.0
}

***

Record 7
{
  "formula": "Re3W",
  "functional": "GGA-PBEsol",
  "state": "relaxed",
  "lattice_angstrom": [[2.763, 0.000, 0.000], [0.000, 3.909, 0.000], [0.000, 0.000, 5.539]],
  "species": ["Re", "Re", "Re", "W"],
  "fractional_positions": [[0.000, 0.000, 0.745], [0.000, 0.000, 0.255], [0.500, 0.500, 0.500], [0.500, 0.500, 0.000]],
  "sg": "Pmmm (47)",
  "e_above_lowest_polymorph_mev_per_atom": 0,
  "vol_a3_per_fu": 59.8
}

***

Record 8
{
  "formula": "Re3W",
  "functional": "GGA-PBEsol",
  "state": "relaxed",
  "lattice_angstrom": [[2.763, 0.000, 0.000], [1.382, 2.393, 0.000], [1.382, 0.798, 9.053]],
  "species": ["Re", "Re", "Re", "W"],
  "fractional_positions": [[0.248, 0.248, 0.255], [0.500, 0.500, 0.500], [0.752, 0.752, 0.745], [0.000, 0.000, 0.000]],
  "sg": "R-3m (166)",
  "e_above_lowest_polymorph_mev_per_atom": 16,
  "vol_a3_per_fu": 59.9
}

***

Record 9
{
  "formula": "YReW2",
  "functional": "GGA-PBEsol",
  "state": "relaxed",
  "lattice_angstrom": [[-0.585, -1.877, 4.134], [1.284, -4.329, 0.751], [3.629, -0.885, 2.646]],
  "species": ["Re", "W", "W", "Y"],
  "fractional_positions": [[0.500, 0.500, 0.500], [0.000, 0.000, 0.000], [0.750, 0.750, 0.750], [0.250, 0.250, 0.250]],
  "sg": "F-43m (216)",
  "e_above_lowest_polymorph_mev_per_atom": 38,
  "vol_a3_per_fu": 67.8
}

***

Record 10
{
  "formula": "YRe2W",
  "functional": "GGA-PBEsol",
  "state": "relaxed",
  "lattice_angstrom": [[-0.619, -4.272, -1.385], [2.203, -3.390, 2.052], [-2.271, -2.925, 2.616]],
  "species": ["Re", "Re", "W", "Y"],
  "fractional_positions": [[0.000, 0.000, 0.000], [0.250, 0.250, 0.250], [0.500, 0.500, 0.500], [0.750, 0.750, 0.750]],
  "sg": "F-43m (216)",
  "e_above_lowest_polymorph_mev_per_atom": 0,
  "vol_a3_per_fu": 65.9
}

***

Record 11
{
  "formula": "YRe2W",
  "functional": "GGA-PBEsol",
  "state": "relaxed",
  "lattice_angstrom": [[-0.521, 0.511, 3.029], [2.390, -1.863, 0.725], [4.485, 5.683, -0.187]],
  "species": ["Re", "Re", "W", "Y"],
  "fractional_positions": [[0.000, 0.000, 0.043], [0.500, 0.500, 0.247], [0.000, 0.000, 0.458], [0.500, 0.500, 0.753]],
  "sg": "P4mm (99)",
  "e_above_lowest_polymorph_mev_per_atom": 4,
  "vol_a3_per_fu": 70.3
}

***

Record 12
{
  "formula": "Y2ReW",
  "functional": "GGA-PBEsol",
  "state": "relaxed",
  "lattice_angstrom": [[-2.408, -2.826, 1.483], [3.043, -1.471, 2.136], [-1.497, 5.103, 1.905]],
  "species": ["Re", "W", "Y", "Y"],
  "fractional_positions": [[0.500, 0.500, 0.000], [0.000, 0.000, 0.000], [0.750, 0.250, 0.500], [0.250, 0.750, 0.500]],
  "sg": "I4/mmm (139)",
  "vol_a3_per_fu": 78.2
}

***

Number 1: electronic total energy -35.08 eV per cell, magnetization 0.00 μB/f.u., formation energy -5.43 kcal/mol of atoms. Number 2: electronic total energy -34.27 eV per cell, magnetization 0.00 μB/f.u., formation energy -0.75 kcal/mol of atoms. Number 3: electronic total energy -43.33 eV per cell, magnetization 0.00 μB/f.u., formation energy -6.33 kcal/mol of atoms. Number 4: electronic total energy -37.37 eV per cell, magnetization 0.00 μB/f.u., formation energy -4.57 kcal/mol of atoms. Number 5: electronic total energy -39.91 eV per cell, magnetization 0.00 μB/f.u., formation energy 4.32 kcal/mol of atoms. Number 6: electronic total energy -123.56 eV per cell, magnetization 0.00 μB/f.u., formation energy 0.59 kcal/mol of atoms. Number 7: electronic total energy -53.27 eV per cell, magnetization 0.00 μB/f.u., formation energy 3.09 kcal/mol of atoms. Number 8: electronic total energy -53.20 eV per cell, magnetization 0.00 μB/f.u., formation energy 3.46 kcal/mol of atoms. Number 9: electronic total energy -46.30 eV per cell, magnetization 0.00 μB/f.u., formation energy 8.49 kcal/mol of atoms. Number 10: electronic total energy -46.02 eV per cell, magnetization 0.00 μB/f.u., formation energy 7.37 kcal/mol of atoms. Number 11: electronic total energy -46.00 eV per cell, magnetization 0.00 μB/f.u., formation energy 7.46 kcal/mol of atoms. Number 12: electronic total energy -38.12 eV per cell, magnetization 0.00 μB/f.u., formation energy 15.38 kcal/mol of atoms.